Record 1
# TbCuIr PBE relaxed
data_TbCuIr
_symmetry_space_group_name_H-M 'P 1'
_symmetry_Int_Tables_number 1
_symmetry_space_group_name_Hall 'P 1'
_cell_length_a 4.3017
_cell_length_b 4.3017
_cell_length_c 3.5598
_cell_angle_alpha 90.00
_cell_angle_beta 90.00
_cell_angle_gamma 120.00
loop_
_atom_site_label
_atom_site_type_symbol
_atom_site_fract_x
_atom_site_fract_y
_atom_site_fract_z
Tb1 Tb 0.0000 0.0000 0.0000
Cu1 Cu 0.3333 0.6667 0.5000
Ir1 Ir 0.6667 0.3333 0.5000
# Final energy   -6.30 eV/atom
# Offset from the most stable computed form   0.131 eV/atom
# Symmetry   No. 187
# D(E_F)   1.79 states/eV/cell
# Energy of formation   -1.3 eV per formula unit
# Magnetic moment   0.00 μB/cell
# Volume   57.0 Å³ per cell

***

Record 2
# SrSc3Al PBE relaxed
data_SrSc3Al
_symmetry_space_group_name_H-M 'P 1'
_symmetry_Int_Tables_number 1
_symmetry_space_group_name_Hall 'P 1'
_cell_length_a 5.1567
_cell_length_b 5.1567
_cell_length_c 5.1567
_cell_angle_alpha 90.00
_cell_angle_beta 90.00
_cell_angle_gamma 90.00
loop_
_atom_site_label
_atom_site_type_symbol
_atom_site_fract_x
_atom_site_fract_y
_atom_site_fract_z
Sr1 Sr 0.0000 0.0000 0.0000
Sc1 Sc 0.0000 0.0000 0.5000
Sc2 Sc 0.0000 0.5000 0.0000
Sc3 Sc 0.5000 0.0000 0.0000
Al1 Al 0.5000 0.5000 0.5000
# Final energy   -3.53 eV/atom
# Offset from the most stable computed form   1.073 eV/atom
# Symmetry   No. 221
# D(E_F)   4.76 states/eV/cell
# Energy of formation   6.8 eV per formula unit
# Magnetic moment   0.00 μB/cell
# Volume   137.1 Å³ per cell

***

Record 3
# CuReP3 PBE relaxed
data_CuReP3
_symmetry_space_group_name_H-M 'P 1'
_symmetry_Int_Tables_number 1
_symmetry_space_group_name_Hall 'P 1'
_cell_length_a 4.6306
_cell_length_b 4.6306
_cell_length_c 4.6306
_cell_angle_alpha 90.00
_cell_angle_beta 90.00
_cell_angle_gamma 90.00
loop_
_atom_site_label
_atom_site_type_symbol
_atom_site_fract_x
_atom_site_fract_y
_atom_site_fract_z
Cu1 Cu 0.0000 0.0000 0.0000
Re1 Re 0.5000 0.5000 0.5000
P1 P 0.0000 0.5000 0.5000
P2 P 0.5000 0.0000 0.5000
P3 P 0.5000 0.5000 0.0000
# Final energy   -5.70 eV/atom
# Offset from the most stable computed form   0.000 eV/atom
# Symmetry   No. 221
# D(E_F)   6.96 states/eV/cell
# Energy of formation   4.3 eV per formula unit
# Magnetic moment   0.00 μB/cell
# Volume   99.3 Å³ per cell

***

Record 4
# NbV3P PBE relaxed
data_NbV3P
_symmetry_space_group_name_H-M 'P 1'
_symmetry_Int_Tables_number 1
_symmetry_space_group_name_Hall 'P 1'
_cell_length_a 4.3173
_cell_length_b 4.3173
_cell_length_c 4.3173
_cell_angle_alpha 90.00
_cell_angle_beta 90.00
_cell_angle_gamma 90.00
loop_
_atom_site_label
_atom_site_type_symbol
_atom_site_fract_x
_atom_site_fract_y
_atom_site_fract_z
Nb1 Nb 0.0000 0.0000 0.0000
V1 V 0.0000 0.5000 0.5000
V2 V 0.5000 0.0000 0.5000
V3 V 0.5000 0.5000 0.0000
P1 P 0.5000 0.5000 0.5000
# Final energy   -8.37 eV/atom
# Offset from the most stable computed form   0.369 eV/atom
# Symmetry   No. 221
# D(E_F)   7.62 states/eV/cell
# Energy of formation   1.0 eV per formula unit
# Magnetic moment   0.00 μB/cell
# Volume   80.5 Å³ per cell

***

Record 5
# Zn2CdAs PBE relaxed
data_Zn2CdAs
_symmetry_space_group_name_H-M 'P 1'
_symmetry_Int_Tables_number 1
_symmetry_space_group_name_Hall 'P 1'
_cell_length_a 2.9681
_cell_length_b 2.9681
_cell_length_c 8.4259
_cell_angle_alpha 90.00
_cell_angle_beta 90.00
_cell_angle_gamma 90.43
loop_
_atom_site_label
_atom_site_type_symbol
_atom_site_fract_x
_atom_site_fract_y
_atom_site_fract_z
Zn1 Zn 0.0000 0.0000 0.0000
Zn2 Zn 0.5000 0.5000 0.2074
Cd1 Cd 0.0000 0.0000 0.4630
As1 As 0.5000 0.5000 0.7604
# Final energy   -1.86 eV/atom
# Offset from the most stable computed form   0.089 eV/atom
# Symmetry   No. 35
# D(E_F)   2.10 states/eV/cell
# Energy of formation   0.7 eV per formula unit
# Magnetic moment   0.00 μB/cell
# Volume   74.2 Å³ per cell

***

Record 6
# IrC4 PBE relaxed
data_IrC4
_symmetry_space_group_name_H-M 'P 1'
_symmetry_Int_Tables_number 1
_symmetry_space_group_name_Hall 'P 1'
_cell_length_a 3.9619
_cell_length_b 3.9619
_cell_length_c 3.9619
_cell_angle_alpha 90.00
_cell_angle_beta 90.00
_cell_angle_gamma 90.00
loop_
_atom_site_label
_atom_site_type_symbol
_atom_site_fract_x
_atom_site_fract_y
_atom_site_fract_z
Ir1 Ir 0.0000 0.0000 0.0000
C1 C 0.0000 0.0000 0.5000
C2 C 0.0000 0.5000 0.0000
C3 C 0.5000 0.0000 0.0000
C4 C 0.5000 0.5000 0.5000
# Final energy   -5.86 eV/atom
# Offset from the most stable computed form   2.715 eV/atom
# Symmetry   No. 221
# D(E_F)   3.66 states/eV/cell
# Energy of formation   16.5 eV per formula unit
# Magnetic moment   1.04 μB/cell
# Volume   62.2 Å³ per cell